Entry 1:
Entry from the Alexandria database: a geometry-optimized LiMoIr2 structure (GGA-PBE).

The value obtained for the energy relative to the elements is 0.00 eV/atom. The calculation puts the volume at 13.79 Å³ per atom. The density of states at the Fermi level comes out at 0.92 states/eV per atom. As for the offset from the most stable computed form: 204 meV/atom. For the calculated density, the calculation gives 14.67 Mg/m³.

It has space group Immm (No. 71), with a = 2.8523 Å, b = 4.5137 Å, c = 8.5680 Å, α = 90.00°, β = 90.00° and γ = 90.00°. The inequivalent atoms are Li at (0.0000, 0.0000, 0.0000), Mo at (0.0000, 0.0000, 0.5000) and Ir at (0.0000, 0.5000, 0.2648).



Entry 2:
Entry from the Alexandria database: a geometry-optimized LiMo2Ir structure (GGA-PBE).

The value obtained for the energy relative to the elements is 0.11 eV/atom. The calculation puts the volume at 14.76 Å³ per atom. The density of states at the Fermi level comes out at 0.84 states/eV per atom. As for the offset from the most stable computed form: 93 meV/atom. For the calculated density, the calculation gives 11.00 Mg/m³.

It has space group Cm (No. 8), with a = 8.8060 Å, b = 2.7174 Å, c = 4.9598 Å, α = 90.00°, β = 95.90° and γ = 90.00°. The inequivalent atoms are Li at (0.0000, 0.0000, 0.0000), Mo at (0.2446, 0.0000, 0.7690), Mo at (0.4865, 0.0000, 0.4876) and Ir at (0.2470, 0.5000, 0.2451).



Entry 3:
Entry from the Alexandria database: a geometry-optimized LiMoIr2 structure (GGA-PBE).

The value obtained for the energy relative to the elements is -0.05 eV/atom. The calculation puts the volume at 14.25 Å³ per atom. The density of states at the Fermi level comes out at 0.71 states/eV per atom. As for the offset from the most stable computed form: 150 meV/atom. For the calculated density, the calculation gives 14.20 Mg/m³.

It has space group P4/mmm (No. 123), with a = 4.4170 Å, b = 4.4170 Å, c = 2.9214 Å, α = 90.00°, β = 90.00° and γ = 90.00°. The inequivalent atoms are Li at (0.0000, 0.0000, 0.0000), Mo at (0.5000, 0.5000, 0.0000) and Ir at (0.0000, 0.5000, 0.5000).



What is the formula in the first record?
LiMoIr2



Copy entry 3 word for word.
Entry from the Alexandria database: a geometry-optimized LiMoIr2 structure (GGA-PBE).

The value obtained for the energy relative to the elements is -0.05 eV/atom. The calculation puts the volume at 14.25 Å³ per atom. The density of states at the Fermi level comes out at 0.71 states/eV per atom. As for the offset from the most stable computed form: 150 meV/atom. For the calculated density, the calculation gives 14.20 Mg/m³.

It has space group P4/mmm (No. 123), with a = 4.4170 Å, b = 4.4170 Å, c = 2.9214 Å, α = 90.00°, β = 90.00° and γ = 90.00°. The inequivalent atoms are Li at (0.0000, 0.0000, 0.0000), Mo at (0.5000, 0.5000, 0.0000) and Ir at (0.0000, 0.5000, 0.5000).



Look up the offset from the most stable computed form of the third one.
150 meV/atom